## AcHf2Mo (PBE-GGA)

Data for a geometry-optimized AcHf2Mo structure.

Unit cell a=3.432 b=3.432 c=8.504 alpha=90.00 beta=90.00 gamma=90.00
Positions (direct):
Ac  0.500  0.500  0.500
Hf  0.000  0.000  0.822
Hf  0.000  0.000  0.178
Mo  0.500  0.500  0.000

DFT formation energy: 0.144 eV/atom
energy above the most stable polymorph in this dataset: 0.0000 eV per atom
D(E_F): 1.3339 states/eV/atom